The following is a PBE calculation of a relaxed Cs2CuAg crystal, from Alexandria.

Its density is 4.134 Mg/m³. The energy above the most stable polymorph in this dataset comes out at 0.000 eV per atom. The value obtained for the total energy is -1.8995 eV per atom. For the volume, the calculation gives 175.6 Å³/f.u. The crystal system is cubic. As for the spin magnetization: 0.00 μB per cell.

a b c (Å): 8.890 8.890 8.890
angles (deg): 90.00 90.00 90.00
Space group Fm-3m (No. 225)
Unique sites:
Cs: 0.250 0.250 0.250
Cu: 0.000 0.000 0.000
Ag: 0.000 0.000 0.500